First-principles (GGA-PBE) data for an optimized crystal structure of Pr3Cd2Ru, as listed in Alexandria.

Computed properties:
formation enthalpy at 0 K = -230 meV/atom
volume = 169 Å³/cell
mass density = 7340 kg/m3
energy above the most stable polymorph in this dataset = 0.011 eV/atom
DFT total energy = -4.471 eV per atom

Cell: 3.6112 5.4822 8.9817 Å, 72.26 89.90 89.93°
Closest atoms and distances in Å follow each position.
Space group P-1 (No. 2)
Unique sites:
Pr1 0.0000 0.0000 0.0000 (multiplicity 1)  2 Ru 2.74
Pr2 0.4999 0.3666 0.2672 (multiplicity 2)  2 Ru 2.91
Cd1 0.0010 0.8012 0.3974 (multiplicity 2)  4 Cd 3.26-3.61, 7 Pr 3.39-3.47
Ru1 0.0000 0.5000 0.0000 (multiplicity 1)  6 Pr 2.74-2.91

---

First-principles (GGA-PBE) data for an optimized crystal structure of FeCoNi14, as listed in Alexandria.

Computed properties:
formation enthalpy at 0 K = -10 meV/atom
volume = 350 Å³/cell
mass density = 8875 kg/m3
DFT total energy = -6.042 eV per atom

Cell: 8.1437 4.9782 8.6438 Å, 90.00 90.00 90.00°
Closest atoms and distances in Å follow each position.
Space group Amm2 (No. 38)
Unique sites:
Fe1 0.0000 0.0000 0.0000 (multiplicity 2)  10 Ni 2.48-2.50, 2 Co 2.49
Co1 0.0000 0.0000 0.5003 (multiplicity 2)  10 Ni 2.48-2.50, 2 Fe 2.49
Ni1 0.0000 0.2500 0.2496 (multiplicity 4)  8 Ni 2.48-2.49, 2 Co 2.49-2.50, 2 Fe 2.49-2.50
Ni2 0.2494 0.0000 0.1655 (multiplicity 4)  1 Fe 2.48, 11 Ni 2.49-2.50
Ni3 0.2487 0.0000 0.6653 (multiplicity 4)  1 Co 2.48, 11 Ni 2.49-2.51
Ni4 0.2485 0.2494 0.4161 (multiplicity 8)  10 Ni 2.48-2.50, 1 Co 2.48, 1 Fe 2.49
Ni5 0.5000 0.0000 0.3327 (multiplicity 2)  12 Ni 2.49-2.50
Ni6 0.5000 0.0000 0.8327 (multiplicity 2)  12 Ni 2.49-2.51
Ni7 0.5000 0.2500 0.0827 (multiplicity 4)  12 Ni 2.49-2.50

---

First-principles (GGA-PBE) data for an optimized crystal structure of MgNb4Ir5, as listed in Alexandria.

Computed properties:
formation enthalpy at 0 K = -501 meV/atom
volume = 161 Å³/cell
mass density = 14038 kg/m3
DFT total energy = -9.119 eV per atom

Cell: 2.9149 2.9149 18.8913 Å, 90.00 90.00 90.00°
Closest atoms and distances in Å follow each position.
Space group P4/mmm (No. 123)
Unique sites:
Mg1 0.0000 0.0000 0.0000 (multiplicity 1)  8 Ir 2.77, 4 Mg 2.91
Nb1 0.0000 0.0000 0.1932 (multiplicity 2)  8 Ir 2.74-2.82, 4 Nb 2.91
Nb2 0.0000 0.0000 0.3981 (multiplicity 2)  8 Ir 2.82-2.83, 4 Nb 2.91
Ir1 0.5000 0.5000 0.0976 (multiplicity 2)  4 Nb 2.74, 4 Mg 2.77, 4 Ir 2.91
Ir2 0.5000 0.5000 0.2953 (multiplicity 2)  8 Nb 2.82-2.83, 4 Ir 2.91
Ir3 0.5000 0.5000 0.5000 (multiplicity 1)  8 Nb 2.82, 4 Ir 2.91

---

First-principles (GGA-PBE) data for an optimized crystal structure of Al2PtPb, as listed in Alexandria.

Computed properties:
formation enthalpy at 0 K = -342 meV/atom
volume = 261 Å³/cell
mass density = 8703 kg/m3
DFT total energy = -4.651 eV per atom

Cell: 4.2487 4.2487 16.7053 Å, 90.00 90.00 120.00°
Closest atoms and distances in Å follow each position.
Space group R-3m (No. 166, hexagonal axes)
Unique sites:
Al1 0.0000 0.0000 0.2067 (multiplicity 6)  3 Pt 2.54, 3 Al 2.79
Pt1 0.0000 0.0000 0.5000 (multiplicity 3)  6 Al 2.54
Pb1 0.0000 0.0000 0.0000 (multiplicity 3)  8 Al 3.24-3.45